No. 1
Tm6As2P3S PBE optimized geometry; energy relative to the elements, uncorrected = -1669 meV/atom; ρ = 8046 kg/m3; symmetry = C2/m, No. 12
1.0
3.9722 0.0000 0.0000
0.0000 7.9466 0.2821
-1.9861 -2.2935 8.3423
Tm As P S
6 2 3 1
Direct
0.3321 0.9215 0.6642 Tm
0.6649 0.5872 0.3298 Tm
0.6679 0.0785 0.3358 Tm
0.9981 0.2551 0.9963 Tm
0.0019 0.7449 0.0037 Tm
0.3351 0.4128 0.6702 Tm
0.8343 0.6690 0.6686 As
0.1657 0.3310 0.3314 As
0.5000 0.5000 0.0000 P
0.8342 0.1657 0.6685 P
0.1658 0.8343 0.3315 P
0.5000 0.0000 0.0000 S

=====

No. 2
MgAl2V2 PBE optimized geometry; formation enthalpy at 0 K = 0.55 kcal/mol of atoms; ρ = 3661 kg/m3; symmetry = P4/mbm, No. 127; offset from the most stable computed form = 0.000 eV/atom
1.0
-5.0492 4.5462 -3.4885
-5.2854 -5.4910 0.4942
-0.8121 1.0053 2.4855
Mg Al V
2 4 4
Direct
0.0000 0.0000 0.0000 Mg
0.5000 0.5000 0.0000 Mg
0.1845 0.6845 0.5000 Al
0.6845 0.8155 0.5000 Al
0.8155 0.3155 0.5000 Al
0.3155 0.1845 0.5000 Al
0.3916 0.8916 0.0000 V
0.8916 0.6084 0.0000 V
0.6084 0.1084 0.0000 V
0.1084 0.3916 0.0000 V

=====

No. 3
BeFe4Cu PBE optimized geometry; formation enthalpy at 0 K = 7.29 kcal/mol of atoms; ρ = 7038 kg/m3; symmetry = F-43m, No. 216
1.0
0.0000 3.2684 3.2684
3.2684 0.0000 3.2684
3.2684 3.2684 0.0000
Be Fe Cu
1 4 1
Direct
0.7500 0.7500 0.7500 Be
0.8742 0.3753 0.3753 Fe
0.3753 0.3753 0.8742 Fe
0.3753 0.8742 0.3753 Fe
0.3753 0.3753 0.3753 Fe
0.0000 0.0000 0.0000 Cu

=====

No. 4
MoHIr2W PBE optimized geometry; ρ = 17653 kg/m3; symmetry = P4/mmm, No. 123; offset from the most stable computed form = 0.000 eV/atom
1.0
3.9147 0.0000 0.0000
0.0000 3.9147 0.0000
0.0000 0.0000 4.0831
H Mo Ir W
1 1 2 1
Direct
0.0000 0.0000 0.0000 H
0.0000 0.0000 0.5000 Mo
0.0000 0.5000 0.0000 Ir
0.5000 0.0000 0.0000 Ir
0.5000 0.5000 0.5000 W

=====

No. 5
CdGaAgS2 PBE optimized geometry; energy relative to the elements, uncorrected = 460 meV/atom; ρ = 4399 kg/m3; symmetry = P4/mmm, No. 123
1.0
-3.4257 1.5668 3.4161
-3.6644 -2.7205 -2.4269
1.0623 -4.0301 2.9137
S Ga Ag Cd
2 1 1 1
Direct
0.0000 0.0000 0.5000 S
0.5000 0.0000 0.0000 S
0.5000 0.5000 0.5000 Ga
0.0000 0.5000 0.0000 Ag
0.0000 0.0000 0.0000 Cd

=====

No. 6
La2Al2Ge PBE optimized geometry; formation enthalpy at 0 K = -9.92 kcal/mol of atoms; ρ = 5267 kg/m3; symmetry = P4/mbm, No. 127
1.0
7.2457 0.0000 0.0000
0.0000 7.2457 0.0000
0.0000 0.0000 4.8573
Ge Al La
2 4 4
Direct
0.0000 0.0000 0.0000 Ge
0.5000 0.5000 0.0000 Ge
0.3696 0.8696 0.0000 Al
0.8696 0.6304 0.0000 Al
0.6304 0.1304 0.0000 Al
0.1304 0.3696 0.0000 Al
0.1714 0.6714 0.5000 La
0.6714 0.8286 0.5000 La
0.8286 0.3286 0.5000 La
0.3286 0.1714 0.5000 La

=====

No. 7
TbCeSm14 PBE optimized geometry; formation enthalpy at 0 K = 0.70 kcal/mol of atoms; ρ = 7421 kg/m3; symmetry = P4/mmm, No. 123
1.0
-2.3419 -5.0247 -4.6719
-2.9666 -3.7099 5.4767
-8.7338 5.1965 -1.2109
Tb Ce Sm
1 1 14
Direct
0.3751 0.6249 0.0000 Tb
0.8749 0.1251 0.0000 Ce
0.3749 0.6251 0.5000 Sm
0.8751 0.1249 0.5000 Sm
0.8750 0.6250 0.0000 Sm
0.8750 0.6250 0.5000 Sm
0.3750 0.1250 0.0000 Sm
0.3750 0.1250 0.5000 Sm
0.6262 0.8762 0.7518 Sm
0.6262 0.8762 0.2482 Sm
0.1238 0.3738 0.7518 Sm
0.1238 0.3738 0.2482 Sm
0.1239 0.8761 0.7519 Sm
0.1239 0.8761 0.2481 Sm
0.6261 0.3739 0.7517 Sm
0.6261 0.3739 0.2483 Sm

=====

No. 8
CsMgScBr6 PBE optimized geometry; energy relative to the elements, uncorrected = -1675 meV/atom; ρ = 3255 kg/m3; symmetry = P312, No. 149
1.0
6.9897 0.0000 -0.0001
3.4949 6.0532 0.0002
0.0001 0.0000 8.2172
Cs Mg Sc Br
1 1 1 6
Direct
0.0000 0.0000 0.0000 Cs
0.6666 0.6667 0.5000 Mg
0.3333 0.3334 0.5000 Sc
0.0028 0.3735 0.3116 Br
0.3735 0.0029 0.6883 Br
0.6235 0.3736 0.6883 Br
0.0027 0.6237 0.6883 Br
0.3736 0.6235 0.3116 Br
0.6236 0.0028 0.3116 Br

=====

No. 9
CsRhCl2 PBE optimized geometry; energy relative to the elements, uncorrected = -228 meV/atom; ρ = 4890 kg/m3; symmetry = Fm-3m, No. 225; offset from the most stable computed form = 0.435 eV/atom
1.0
1.3384 -3.3477 3.8593
-3.6181 -3.2636 2.0374
0.2710 -5.1832 -0.9763
Cs Rh Cl
1 1 2
Direct
0.5000 0.5000 0.5000 Cs
0.0000 0.0000 0.0000 Rh
0.2500 0.2500 0.2500 Cl
0.7500 0.7500 0.7500 Cl

=====

No. 10
AgOsPb PBE optimized geometry; formation enthalpy at 0 K = 21.26 kcal/mol of atoms; ρ = 13924 kg/m3; symmetry = I4mm, No. 107; offset from the most stable computed form = 0.009 eV/atom
1.0
6.7332 0.0603 0.0000
5.2921 4.1633 0.0000
-6.0127 -2.1118 2.1744
Pb Os Ag
1 1 1
Direct
0.6836 0.6836 0.0000 Pb
0.3357 0.3357 0.0000 Os
0.9807 0.9807 0.0000 Ag

=====

No. 11
Ac3La3Tm PBE optimized geometry; formation enthalpy at 0 K = 4.48 kcal/mol of atoms; ρ = 7412 kg/m3; symmetry = R-3, No. 148
1.0
8.2849 0.3725 4.1835
2.7323 7.8302 4.1835
0.5003 0.3725 9.2677
Ac La Tm
6 6 2
Direct
0.7252 0.5591 0.0643 Ac
0.0643 0.7252 0.5591 Ac
0.5591 0.0643 0.7252 Ac
0.4409 0.9357 0.2748 Ac
0.9357 0.2748 0.4409 Ac
0.2748 0.4409 0.9357 Ac
0.7106 0.1973 0.9334 La
0.1973 0.9334 0.7106 La
0.9334 0.7106 0.1973 La
0.0666 0.2894 0.8027 La
0.8027 0.0666 0.2894 La
0.2894 0.8027 0.0666 La
0.3487 0.3487 0.3487 Tm
0.6513 0.6513 0.6513 Tm

=====

No. 12
SrHg7Pd5 PBE optimized geometry; formation enthalpy at 0 K = -6.64 kcal/mol of atoms; ρ = 12401 kg/m3; symmetry = Imm2, No. 44
1.0
5.7691 0.0000 0.0000
2.8845 6.8539 -0.0225
2.8845 -0.0446 6.8538
Sr Hg Pd
1 7 5
Direct
0.0091 0.9909 0.9909 Sr
0.6632 0.3368 0.3368 Hg
0.3376 0.6624 0.6624 Hg
0.9886 0.3506 0.6721 Hg
0.9886 0.6721 0.3506 Hg
0.2669 0.2331 0.2331 Hg
0.5072 0.7969 0.1888 Hg
0.5072 0.1888 0.7969 Hg
0.4964 0.0015 0.4991 Pd
0.0030 0.0015 0.4991 Pd
0.4964 0.4991 0.0015 Pd
0.0030 0.4991 0.0015 Pd
0.7327 0.7673 0.7673 Pd

=====

Quick rundown of size of the total moment, same order as above: 0.00, 0.00, 7.00, 0.00, 0.00, 0.00, 0.99, 0.00, 2.00, 0.00, 0.00, 0.00 μB/f.u.
Quick rundown of E, same order as above: -6.376, -5.439, -6.629, -9.091, -2.549, -4.821, -4.759, -3.766, -3.202, -5.008, -4.317, -2.577 eV per atom